Arrangement w

The following is a DFT calculation (PBE) of a relaxed structure of LaHfPb2.

Calculated values
**D(E_F)**: 1.166 states/eV/atom
**SG**: I-42d (122)
**Spin magnetization**: 0.00 μB per formula unit

a b c (Å): 4.7737 4.7737 11.5058
angles (deg): 78.03 78.03 90.00
Sites, in units of the cell vectors:
1 Hf 0.0000 0.0000 0.0000
2 Hf 0.7500 0.2500 0.5000
3 La 0.2500 0.7500 0.5000
4 La 0.5000 0.5000 0.0000
5 Pb 0.6653 0.1250 0.2500
6 Pb 0.3750 0.3347 0.7500
7 Pb 0.8750 0.9153 0.7500
8 Pb 0.0847 0.6250 0.2500

Arrangement x

The following is a DFT calculation (PBE) of a relaxed structure of LaHfPb2.

Calculated values
**D(E_F)**: 1.324 states/eV/atom
**SG**: Fm-3m (225)
**Spin magnetization**: 1.58 μB per formula unit

a b c (Å): 5.4035 5.4035 5.4035
angles (deg): 60.00 60.00 60.00
Each line ends with the local moment (μB).
Sites, in units of the cell vectors:
1 Pb 0.7500 0.7500 0.7500  0.03
2 Pb 0.2500 0.2500 0.2500  0.03
3 La 0.0000 0.0000 0.0000  0.18
4 Hf 0.5000 0.5000 0.5000  0.66

Arrangement y

The following is a DFT calculation (PBE) of a relaxed structure of LaHfPb2.

Calculated values
**D(E_F)**: 0.679 states/eV/atom
**SG**: R-3m (166)
**Spin magnetization**: 0.00 μB per formula unit

a b c (Å): 4.9022 4.9022 6.3338
angles (deg): 67.23 67.23 60.00
Sites, in units of the cell vectors:
1 Pb 0.2342 0.2342 0.2973
2 Pb 0.7658 0.7658 0.7027
3 Hf 0.5000 0.5000 0.5000
4 La 0.0000 0.0000 0.0000

Most stable: arrangement y (next structure +122 meV/atom)

Arrangement w

The following is a DFT calculation (PBE) of a relaxed structure of La3HfPb.

Calculated values
**D(E_F)**: 1.335 states/eV/atom
**SG**: Pm-3m (221)
**Spin magnetization**: 4.71 μB per formula unit

a b c (Å): 6.0439 6.0439 6.0439
angles (deg): 90.00 90.00 90.00
Each line ends with the local moment (μB).
Sites, in units of the cell vectors:
1 La 0.0000 0.0000 0.5000  0.24
2 La 0.0000 0.5000 0.0000  0.24
3 La 0.5000 0.0000 0.0000  0.28
4 Pb 0.0000 0.0000 0.0000  0.03
5 Hf 0.5000 0.5000 0.5000  1.17

Arrangement x

The following is a DFT calculation (PBE) of a relaxed structure of La3HfPb.

Calculated values
**D(E_F)**: 1.418 states/eV/atom
**SG**: Pm-3m (221)
**Spin magnetization**: 0.00 μB per formula unit

a b c (Å): 5.6859 5.6859 5.6859
angles (deg): 90.00 90.00 90.00
Sites, in units of the cell vectors:
1 Hf 0.0000 0.0000 0.0000
2 La 0.5000 0.0000 0.0000
3 La 0.0000 0.0000 0.5000
4 La 0.0000 0.5000 0.0000
5 Pb 0.5000 0.5000 0.5000

Most stable: arrangement x (next structure +403 meV/atom)

Arrangement w

The following is a DFT calculation (PBE) of a relaxed structure of LaHf3Pb.

Calculated values
**D(E_F)**: 1.546 states/eV/atom
**SG**: Pm-3m (221)
**Spin magnetization**: 0.00 μB per formula unit

a b c (Å): 5.2024 5.2024 5.2024
angles (deg): 90.00 90.00 90.00
Sites, in units of the cell vectors:
1 Pb 0.5000 0.5000 0.5000
2 Hf 0.0000 0.5000 0.0000
3 Hf 0.5000 0.0000 0.0000
4 Hf 0.0000 0.0000 0.5000
5 La 0.0000 0.0000 0.0000

Arrangement x

The following is a DFT calculation (PBE) of a relaxed structure of LaHf3Pb.

Calculated values
**D(E_F)**: 1.739 states/eV/atom
**SG**: Pm-3m (221)
**Spin magnetization**: 0.00 μB per formula unit

a b c (Å): 5.4261 5.4261 5.4261
angles (deg): 90.00 90.00 90.00
Sites, in units of the cell vectors:
1 Hf 0.0000 0.5000 0.0000
2 Hf 0.0000 0.0000 0.5000
3 Hf 0.5000 0.0000 0.0000
4 La 0.5000 0.5000 0.5000
5 Pb 0.0000 0.0000 0.0000

Most stable: arrangement x (next structure +388 meV/atom)

Arrangement w

The following is a DFT calculation (PBE) of a relaxed structure of LaHf3Pd.

Calculated values
**D(E_F)**: 1.496 states/eV/atom
**SG**: Pm-3m (221)
**Spin magnetization**: 0.00 μB per formula unit

a b c (Å): 5.1183 5.1183 5.1183
angles (deg): 90.00 90.00 90.00
Sites, in units of the cell vectors:
1 Hf 0.5000 0.0000 0.0000
2 Hf 0.0000 0.0000 0.5000
3 Hf 0.0000 0.5000 0.0000
4 La 0.5000 0.5000 0.5000
5 Pd 0.0000 0.0000 0.0000

Arrangement x

The following is a DFT calculation (PBE) of a relaxed structure of LaHf3Pd.

Calculated values
**D(E_F)**: 2.132 states/eV/atom
**SG**: Pm-3m (221)
**Spin magnetization**: 0.00 μB per formula unit

a b c (Å): 5.0768 5.0768 5.0768
angles (deg): 90.00 90.00 90.00
Sites, in units of the cell vectors:
1 Hf 0.5000 0.0000 0.0000
2 Hf 0.0000 0.5000 0.0000
3 Hf 0.0000 0.0000 0.5000
4 Pd 0.5000 0.5000 0.5000
5 La 0.0000 0.0000 0.0000

Most stable: arrangement w (next structure +1341 meV/atom)

Arrangement w

The following is a DFT calculation (PBE) of a relaxed structure of La3HfPd.

Calculated values
**D(E_F)**: 2.279 states/eV/atom
**SG**: Pm-3m (221)
**Spin magnetization**: 0.00 μB per formula unit

a b c (Å): 5.5994 5.5994 5.5994
angles (deg): 90.00 90.00 90.00
Sites, in units of the cell vectors:
1 La 0.0000 0.0000 0.5000
2 La 0.0000 0.5000 0.0000
3 La 0.5000 0.0000 0.0000
4 Pd 0.0000 0.0000 0.0000
5 Hf 0.5000 0.5000 0.5000

Arrangement x

The following is a DFT calculation (PBE) of a relaxed structure of La3HfPd.

Calculated values
**D(E_F)**: 0.674 states/eV/atom
**SG**: Pm-3m (221)
**Spin magnetization**: 0.00 μB per formula unit

a b c (Å): 5.6688 5.6688 5.6688
angles (deg): 90.00 90.00 90.00
Sites, in units of the cell vectors:
1 La 0.0000 0.0000 0.5000
2 La 0.0000 0.5000 0.0000
3 La 0.5000 0.0000 0.0000
4 Pd 0.5000 0.5000 0.5000
5 Hf 0.0000 0.0000 0.0000

Most stable: arrangement w (next structure +351 meV/atom)

Arrangement w

The following is a DFT calculation (PBE) of a relaxed structure of La2PmHf.

Calculated values
**D(E_F)**: 1.510 states/eV/atom
**SG**: R-3m (166)
**Spin magnetization**: 0.00 μB per formula unit

a b c (Å): 3.3892 3.3892 12.6769
angles (deg): 82.32 82.32 60.00
Sites, in units of the cell vectors:
1 La 0.9186 0.9186 0.2443
2 La 0.0814 0.0814 0.7557
3 Pm 0.5000 0.5000 0.5000
4 Hf 0.0000 0.0000 0.0000

Arrangement x

The following is a DFT calculation (PBE) of a relaxed structure of La2PmHf.

Calculated values
**D(E_F)**: 1.089 states/eV/atom
**SG**: P4/mmm (123)
**Spin magnetization**: 0.00 μB per formula unit

a b c (Å): 4.9344 5.0427 5.0427
angles (deg): 90.00 90.00 90.00
Sites, in units of the cell vectors:
1 La 0.0000 0.0000 0.5000
2 La 0.0000 0.5000 0.0000
3 Pm 0.5000 0.0000 0.0000
4 Hf 0.5000 0.5000 0.5000

Arrangement y

The following is a DFT calculation (PBE) of a relaxed structure of La2PmHf.

Calculated values
**D(E_F)**: 1.084 states/eV/atom
**SG**: P4/mmm (123)
**Spin magnetization**: 0.00 μB per formula unit

a b c (Å): 4.0976 4.0976 7.5461
angles (deg): 90.00 90.00 90.00
Sites, in units of the cell vectors:
1 La 0.0000 0.0000 0.2202
2 La 0.0000 0.0000 0.7798
3 Hf 0.5000 0.5000 0.0000
4 Pm 0.5000 0.5000 0.5000

Most stable: arrangement x (next structure +22 meV/atom)

Arrangement w

The following is a DFT calculation (PBE) of a relaxed structure of LaPm2Hf.

Calculated values
**D(E_F)**: 1.799 states/eV/atom
**SG**: P4/mmm (123)
**Spin magnetization**: 0.00 μB per formula unit

a b c (Å): 4.0397 4.0397 7.6820
angles (deg): 90.00 90.00 90.00
Sites, in units of the cell vectors:
1 Hf 0.5000 0.5000 0.0000
2 Pm 0.0000 0.0000 0.2110
3 Pm 0.0000 0.0000 0.7890
4 La 0.5000 0.5000 0.5000

Arrangement x

The following is a DFT calculation (PBE) of a relaxed structure of LaPm2Hf.

Calculated values
**D(E_F)**: 1.145 states/eV/atom
**SG**: P4/mmm (123)
**Spin magnetization**: 0.00 μB per formula unit

a b c (Å): 5.0119 4.9642 4.9642
angles (deg): 90.00 90.00 90.00
Sites, in units of the cell vectors:
1 La 0.5000 0.0000 0.0000
2 Pm 0.0000 0.5000 0.0000
3 Pm 0.0000 0.0000 0.5000
4 Hf 0.5000 0.5000 0.5000

Most stable: arrangement x (next structure +45 meV/atom)

Arrangement w

The following is a DFT calculation (PBE) of a relaxed structure of La2PrHf.

Calculated values
**D(E_F)**: 1.207 states/eV/atom
**SG**: P4/mmm (123)
**Spin magnetization**: 0.00 μB per formula unit

a b c (Å): 4.1040 4.1040 7.6387
angles (deg): 90.00 90.00 90.00
Sites, in units of the cell vectors:
1 Hf 0.5000 0.5000 0.0000
2 La 0.0000 0.0000 0.2166
3 La 0.0000 0.0000 0.7834
4 Pr 0.5000 0.5000 0.5000

Arrangement x

The following is a DFT calculation (PBE) of a relaxed structure of La2PrHf.

Calculated values
**D(E_F)**: 1.565 states/eV/atom
**SG**: R-3m (166)
**Spin magnetization**: 0.00 μB per formula unit

a b c (Å): 3.3990 3.3990 12.7684
angles (deg): 82.35 82.35 60.00
Sites, in units of the cell vectors:
1 La 0.0806 0.0806 0.7581
2 La 0.9194 0.9194 0.2419
3 Hf 0.0000 0.0000 0.0000
4 Pr 0.5000 0.5000 0.5000

Most stable: arrangement w (next structure +176 meV/atom)

Arrangement w

The following is a DFT calculation (PBE) of a relaxed structure of LaPrHf.

Calculated values
**D(E_F)**: 1.454 states/eV/atom
**SG**: I4mm (107)
**Spin magnetization**: 0.00 μB per formula unit

a b c (Å): 3.4240 3.4240 8.2407
angles (deg): 101.99 101.99 90.00
Sites, in units of the cell vectors:
1 Pr 0.0150 0.0150 0.0300
2 La 0.3195 0.3195 0.6389
3 Hf 0.6656 0.6656 0.3311

Arrangement x

The following is a DFT calculation (PBE) of a relaxed structure of LaPrHf.

Calculated values
**D(E_F)**: 1.688 states/eV/atom
**SG**: P4/nmm (129)
**Spin magnetization**: 0.00 μB per formula unit

a b c (Å): 3.8549 3.8549 12.8392
angles (deg): 90.00 90.00 90.00
Sites, in units of the cell vectors:
1 Pr 0.0000 0.5000 0.5979
2 Pr 0.5000 0.0000 0.4021
3 La 0.5000 0.0000 0.7945
4 La 0.0000 0.5000 0.2055
5 Hf 0.5000 0.0000 0.0495
6 Hf 0.0000 0.5000 0.9505

Most stable: arrangement x (next structure +33 meV/atom)

Arrangement w

The following is a DFT calculation (PBE) of a relaxed structure of LaHf2Pt2.

Calculated values
**D(E_F)**: 0.702 states/eV/atom
**SG**: P4/mbm (127)
**Spin magnetization**: 0.00 μB per formula unit

a b c (Å): 7.9886 7.9886 3.3837
angles (deg): 90.00 90.00 90.00
Sites, in units of the cell vectors:
1 La 0.0000 0.0000 0.0000
2 La 0.5000 0.5000 0.0000
3 Hf 0.6566 0.8434 0.5000
4 Hf 0.3434 0.1566 0.5000
5 Hf 0.8434 0.3434 0.5000
6 Hf 0.1566 0.6566 0.5000
7 Pt 0.1266 0.3734 0.0000
8 Pt 0.6266 0.1266 0.0000
9 Pt 0.8734 0.6266 0.0000
10 Pt 0.3734 0.8734 0.0000

Arrangement x

The following is a DFT calculation (PBE) of a relaxed structure of LaHf2Pt2.

Calculated values
**D(E_F)**: 1.162 states/eV/atom
**SG**: I4/mmm (139)
**Spin magnetization**: 0.00 μB per formula unit

a b c (Å): 4.8934 4.8934 6.2077
angles (deg): 66.79 66.79 90.00
Sites, in units of the cell vectors:
1 Hf 0.3509 0.3509 0.2981
2 Hf 0.6491 0.6491 0.7019
3 Pt 0.2500 0.7500 0.5000
4 Pt 0.7500 0.2500 0.5000
5 La 0.0000 0.0000 0.0000

Most stable: arrangement w (next structure +121 meV/atom)

Arrangement w

The following is a DFT calculation (PBE) of a relaxed structure of LaHf3Pt.

Calculated values
**D(E_F)**: 1.738 states/eV/atom
**SG**: Pm-3m (221)
**Spin magnetization**: 0.00 μB per formula unit

a b c (Å): 5.0221 5.0221 5.0221
angles (deg): 90.00 90.00 90.00
Sites, in units of the cell vectors:
1 Hf 0.0000 0.0000 0.5000
2 Hf 0.0000 0.5000 0.0000
3 Hf 0.5000 0.0000 0.0000
4 La 0.0000 0.0000 0.0000
5 Pt 0.5000 0.5000 0.5000

Arrangement x

The following is a DFT calculation (PBE) of a relaxed structure of LaHf3Pt.

Calculated values
**D(E_F)**: 1.619 states/eV/atom
**SG**: Pm-3m (221)
**Spin magnetization**: 0.00 μB per formula unit

a b c (Å): 5.1474 5.1474 5.1474
angles (deg): 90.00 90.00 90.00
Sites, in units of the cell vectors:
1 Pt 0.0000 0.0000 0.0000
2 La 0.5000 0.5000 0.5000
3 Hf 0.5000 0.0000 0.0000
4 Hf 0.0000 0.5000 0.0000
5 Hf 0.0000 0.0000 0.5000

Most stable: arrangement x (next structure +1588 meV/atom)

Arrangement w

The following is a DFT calculation (PBE) of a relaxed structure of RbLa3Hf.

Calculated values
**D(E_F)**: 1.576 states/eV/atom
**SG**: Pm-3m (221)
**Spin magnetization**: 0.00 μB per formula unit

a b c (Å): 5.6232 5.6232 5.6232
angles (deg): 90.00 90.00 90.00
Sites, in units of the cell vectors:
1 La 0.0000 0.5000 0.0000
2 La 0.0000 0.0000 0.5000
3 La 0.5000 0.0000 0.0000
4 Hf 0.5000 0.5000 0.5000
5 Rb 0.0000 0.0000 0.0000

Arrangement x

The following is a DFT calculation (PBE) of a relaxed structure of RbLa3Hf.

Calculated values
**D(E_F)**: 1.109 states/eV/atom
**SG**: Pm-3m (221)
**Spin magnetization**: 0.00 μB per formula unit

a b c (Å): 6.0511 6.0511 6.0511
angles (deg): 90.00 90.00 90.00
Sites, in units of the cell vectors:
1 La 0.0000 0.5000 0.0000
2 La 0.0000 0.0000 0.5000
3 La 0.5000 0.0000 0.0000
4 Rb 0.5000 0.5000 0.5000
5 Hf 0.0000 0.0000 0.0000

Most stable: arrangement x (next structure +824 meV/atom)

Arrangement w

The following is a DFT calculation (PBE) of a relaxed structure of Rb2LaHf2.

Calculated values
**D(E_F)**: 1.553 states/eV/atom
**SG**: P4/mbm (127)
**Spin magnetization**: 0.97 μB per formula unit

a b c (Å): 10.9940 10.9940 3.1818
angles (deg): 90.00 90.00 90.00
Each line ends with the local moment (μB).
Sites, in units of the cell vectors:
1 Hf 0.5875 0.9125 0.5000  0.33
2 Hf 0.0875 0.5875 0.5000  0.35
3 Hf 0.9125 0.4125 0.5000  0.35
4 Hf 0.4125 0.0875 0.5000  0.33
5 Rb 0.2973 0.7973 0.0000  0.01
6 Rb 0.7027 0.2027 0.0000  0.01
7 Rb 0.7973 0.7027 0.0000  0.01
8 Rb 0.2027 0.2973 0.0000  0.01
9 La 0.0000 0.0000 0.0000  -0.01
10 La 0.5000 0.5000 0.0000  -0.01

Arrangement x

The following is a DFT calculation (PBE) of a relaxed structure of Rb2LaHf2.

Calculated values
**D(E_F)**: 1.233 states/eV/atom
**SG**: I4/mmm (139)
**Spin magnetization**: 0.00 μB per formula unit

a b c (Å): 5.0375 5.0375 7.6009
angles (deg): 70.65 70.65 90.00
Sites, in units of the cell vectors:
1 Hf 0.7500 0.2500 0.5000
2 Hf 0.2500 0.7500 0.5000
3 La 0.0000 0.0000 0.0000
4 Rb 0.6123 0.6123 0.7754
5 Rb 0.3877 0.3877 0.2246

Most stable: arrangement w (next structure +308 meV/atom)